Entry 1:
ZnTc3N, relaxed, DFT GGA-PBE; formation energy from raw total energies = 0.132 eV per atom; calculated density = 9.614 g cm⁻³; offset from the most stable computed form = 108.7 meV/atom
1.0
4.7432 -5.6254 0.0000
4.7432 5.6254 0.0000
-0.0046 0.0000 4.8341
Zn Tc N
4 12 4
direct
0.0558 0.1802 0.4253
0.1802 0.0558 0.9253
0.8198 0.9442 0.0747
0.9442 0.8198 0.5747
0.0666 0.6840 0.0700
0.1722 0.5631 0.5861
0.2855 0.4144 0.0639
0.3160 0.9334 0.4300
0.4144 0.2855 0.5639
0.4369 0.8278 0.9139
0.5631 0.1722 0.0861
0.5856 0.7145 0.4361
0.6840 0.0666 0.5700
0.7145 0.5856 0.9361
0.8278 0.4369 0.4139
0.9334 0.3160 0.9300
0.3264 0.6736 0.2500
0.4339 0.5661 0.7500
0.5661 0.4339 0.2500
0.6736 0.3264 0.7500

Entry 2:
AcY3Tl4, relaxed, DFT GGA-PBE; ΔH_f (0 K) = -345 meV per atom; calculated density = 9.227 g cm⁻³
1.0
11.0325 0.0000 0.0000
0.0000 7.7575 0.0000
0.0000 0.0000 5.5142
Ac Y Tl
2 6 8
direct
0.0000 0.0000 0.0000
0.5000 0.0000 0.0000
0.0000 0.5000 0.0000
0.2500 0.0000 0.4991
0.2500 0.5000 0.4989
0.5000 0.5000 0.0000
0.7500 0.0000 0.5009
0.7500 0.5000 0.5011
0.0000 0.2661 0.5000
0.0000 0.7339 0.5000
0.2500 0.2661 0.9988
0.2500 0.7339 0.9988
0.5000 0.2661 0.5000
0.5000 0.7339 0.5000
0.7500 0.2661 0.0012
0.7500 0.7339 0.0012

Entry 3:
LiGa4Pt2, relaxed, DFT GGA-PBE; ΔH_f (0 K) = -30 meV per atom; calculated density = 8.679 g cm⁻³; offset from the most stable computed form = 533.4 meV/atom
1.0
4.5273 0.0000 0.0000
0.0000 4.5273 0.0000
0.0000 0.0000 12.6204
Li Ga Pt
2 8 4
direct
0.0000 0.0000 0.0000
0.5000 0.5000 0.5000
0.0000 0.0000 0.1971
0.0000 0.0000 0.8029
0.0000 0.5000 0.0000
0.0000 0.5000 0.5000
0.5000 0.0000 0.0000
0.5000 0.0000 0.5000
0.5000 0.5000 0.3029
0.5000 0.5000 0.6971
0.0000 0.0000 0.3910
0.0000 0.0000 0.6090
0.5000 0.5000 0.1090
0.5000 0.5000 0.8910

Entry 4:
PrSm5Er6, relaxed, DFT GGA-PBE; ΔH_f (0 K) = 19 meV per atom; calculated density = 8.139 g cm⁻³
1.0
-2.5353 5.0192 7.6008
2.5353 -5.0192 7.6008
2.5353 5.0192 -7.6008
Pr Sm Er
1 5 6
direct
0.0000 0.0000 0.0000
0.1675 0.6675 0.5000
0.3332 0.3332 0.0000
0.5000 0.0000 0.5000
0.6668 0.6668 0.0000
0.8325 0.3325 0.5000
0.0837 0.8331 0.2506
0.2512 0.5000 0.7512
0.4175 0.1669 0.2506
0.5825 0.8331 0.7494
0.7488 0.5000 0.2488
0.9163 0.1669 0.7494

Entry 5:
CaReNi2, relaxed, DFT GGA-PBE; ΔH_f (0 K) = 254 meV per atom; calculated density = 9.551 g cm⁻³; offset from the most stable computed form = 79.4 meV/atom
1.0
2.7084 0.0000 0.0000
0.0000 4.4143 0.0000
-0.7228 0.0000 4.9976
Ca Re Ni
1 1 2
direct
0.0000 0.0000 0.0000
0.1992 0.5000 0.5999
0.5650 0.5000 0.1655
0.6180 0.0000 0.4885

Entry 6:
Zr4GeH2, relaxed, DFT GGA-PBE; electronic total energy = -97.16 eV/cell; calculated density = 6.147 g cm⁻³
1.0
-4.2868 4.2868 3.2305
4.2868 -4.2868 3.2305
4.2868 4.2868 -3.2305
Zr Ge H
8 2 4
direct
0.0480 0.7947 0.1338
0.0858 0.9520 0.7467
0.0891 0.4553 0.7533
0.2053 0.3391 0.2533
0.5447 0.2980 0.6338
0.6609 0.9142 0.8662
0.6642 0.9109 0.3662
0.7020 0.3358 0.2467
0.2500 0.7500 0.5000
0.5000 0.5000 0.0000
0.3750 0.1811 0.3061
0.8189 0.1250 0.1939
0.8750 0.0689 0.6939
0.9311 0.6250 0.8061

Entry 7:
KRb2PtAu, relaxed, DFT GGA-PBE; ΔH_f (0 K) = 45 meV per atom; calculated density = 4.733 g cm⁻³; offset from the most stable computed form = 43.4 meV/atom
1.0
6.2798 0.0000 0.0000
0.0000 6.2798 0.0000
0.0000 0.0000 5.3564
K Rb Pt Au
1 2 1 1
direct
0.0000 0.0000 0.0000
0.0000 0.5000 0.5000
0.5000 0.0000 0.5000
0.5000 0.5000 0.5000
0.5000 0.5000 0.0000

Entry 8:
ScV2Ir2, relaxed, DFT GGA-PBE; ΔH_f (0 K) = -400 meV per atom; calculated density = 11.169 g cm⁻³; offset from the most stable computed form = 74.8 meV/atom
1.0
7.4519 0.0000 0.0000
0.0000 7.4519 0.0000
0.0000 0.0000 2.8447
Sc V Ir
2 4 4
direct
0.0000 0.0000 0.0000
0.5000 0.5000 0.0000
0.1602 0.3398 0.5000
0.3398 0.8398 0.5000
0.6602 0.1602 0.5000
0.8398 0.6602 0.5000
0.1353 0.6353 0.0000
0.3647 0.1353 0.0000
0.6353 0.8647 0.0000
0.8647 0.3647 0.0000